# 1
DFT (GGA-PBE) results for an optimized crystal structure of LiCa2GaAs.

## Properties
**DFT formation energy**: 0.6 meV/atom
**E**: -2.718 eV/atom
**Size of the total moment**: 0.0000 μB per atom

abc: 5.750 5.750 4.927
angles: 90.00 90.00 90.00
Space group P4/mmm (No. 123)
Asymmetric unit:
1 Li 0.000 0.000 0.000 [1 per cell]
2 Ca 0.000 0.500 0.500 [2 per cell]
3 Ga 0.500 0.500 0.500 [1 per cell]
4 As 0.500 0.500 0.000 [1 per cell]


# 2
DFT (GGA-PBE) results for an optimized crystal structure of LaYAs2.

## Properties
**DFT formation energy**: -1429.1 meV/atom
**E**: -6.602 eV/atom
**Size of the total moment**: 0.0000 μB per atom
**Energy above the most stable polymorph in this dataset**: 0.127 eV per atom

abc: 4.1837 4.1837 21.7806
angles: 90.00 90.00 120.00
Space group R3m (No. 160, hexagonal axes)
Asymmetric unit:
1 La 0.0000 0.0000 0.0000 [3 per cell]
2 Y 0.0000 0.0000 0.8290 [3 per cell]
3 As 0.0000 0.0000 0.2423 [3 per cell]
4 As 0.0000 0.0000 0.4192 [3 per cell]


# 3
DFT (GGA-PBE) results for an optimized crystal structure of SiAgSe2.

## Properties
**Uncorrected formation energy**: 319 meV per atom
**E**: -3.491 eV/atom
**Size of the total moment**: 0.0000 μB per atom

abc: 3.312 3.312 7.115
angles: 90.00 90.00 90.00
Space group P4/mmm (No. 123)
Asymmetric unit:
1 Si 0.000 0.000 0.000 [1 per cell]
2 Ag 0.000 0.000 0.500 [1 per cell]
3 Se 0.500 0.500 0.228 [2 per cell]


> What is the formula in the second record?

LaYAs2


> What is the E in the third record?

-3.491 eV/atom